A relaxed structure of Pm6HoMg, computed with PBE.

Cell: 5.088 5.088 10.693 Å, 76.24 76.24 90.00°
Sites, in units of the cell vectors:
Ho 0.500 0.500 0.000
Pm 0.621 0.121 0.758
Pm 0.121 0.621 0.758
Pm 0.879 0.379 0.242
Pm 0.379 0.879 0.242
Mg 0.000 0.000 0.000
Pm 0.749 0.749 0.503
Pm 0.251 0.251 0.497

Values from the calculation:
Its space group is I4/mmm (139). The calculation puts the formation energy at 1.3 kJ/mol of atoms. The value obtained for the volume is 32.6 Å³/atom. The total DFT energy (no corrections) comes out at -4.321 eV per atom. The offset from the most stable computed form comes out at 0 meV per atom.